Computed, not measured: a geometry-optimized Ba2GaPN structure at the PBE-GGA level of DFT.

```
10
Lattice="4.1365 0.0000 0.0000 0.0000 6.9936 -0.1254 0.0000 -3.1579 9.0851" Properties=species:S:1:pos:R:3 pbc="T T T"
Ga 1.0341 1.3408 6.6889
Ga 3.1024 2.4948 2.2709
P 1.0341 3.7197 2.6166
P 3.1024 0.1159 6.3431
Ba 3.1024 5.3816 0.1677
Ba 1.0341 0.1643 3.4400
Ba 3.1024 3.6713 5.5197
Ba 1.0341 -1.5460 8.7920
N 3.1024 0.7600 1.5029
N 1.0341 3.0756 7.4568
```

## Properties
The total energy is -48.026 eV for the cell shown. Its space-group type is No. 11. The value obtained for the excess energy over the best structure of this formula in the dataset is 0 kJ/mol of formula units. As for the total magnetic moment: 0.0 μB/cell. The calculation puts the uncorrected formation energy at -0.681 eV per atom.